DFT (PBE+U) results for crystalline TaV2ClO at its relaxed geometry.

Calculated values
total moment	3.99	μB per formula unit
energy	-5.152	eV/atom

Cell lengths 4.392, 4.392, 4.544 Å; angles 90.00, 90.00, 90.00 degrees
Space group P4/mmm (No. 123)
Symmetry-distinct sites (fractional):
Ta1 0.000 0.000 0.000
V1 0.000 0.500 0.500
Cl1 0.000 0.000 0.500
O1 0.500 0.500 0.000